A plane-wave DFT calculation with PBE+U was carried out for Rb7GdFe6P8O34 after structural relaxation.

Summary:
As for the calculated density: 3.69 g/cm³. The calculation puts the total energy at -0.501 Ry/atom.

Cell and atoms, written as POSCAR:
```
Rb7GdFe6P8O34
1.0
-4.609 8.033 -0.638
-5.062 -7.654 4.115
4.426 2.115 8.886
O P Rb Fe Gd
34 8 7 6 1
Cartesian
-3.536 5.593 7.288 O
-2.506 1.555 1.341 O
-5.363 2.361 4.045 O
-6.545 0.199 4.451 O
-2.739 0.939 11.023 O
-4.439 -4.282 3.955 O
-3.788 -3.248 6.488 O
-3.674 6.238 0.761 O
-4.773 -6.765 5.138 O
0.117 0.133 8.319 O
-7.166 2.211 5.912 O
-4.463 -0.283 9.558 O
-0.298 1.412 6.175 O
0.145 -2.327 10.356 O
-0.806 6.777 8.409 O
1.299 2.295 7.912 O
-2.070 -0.972 9.572 O
-3.647 5.368 4.702 O
-1.572 -3.744 11.602 O
-0.473 9.260 7.225 O
-1.458 5.743 5.875 O
-2.591 -1.037 6.195 O
-0.783 2.777 2.806 O
-1.576 -1.255 1.328 O
-1.710 -3.098 5.075 O
-3.670 3.750 11.035 O
-3.176 3.467 2.792 O
-1.599 -2.873 7.662 O
-2.771 1.289 8.492 O
-2.654 3.532 6.169 O
1.921 0.283 6.451 O
-4.948 1.083 6.189 O
-2.474 1.205 3.871 O
-5.391 4.822 2.007 O
0.772 1.014 7.220 P
-6.018 1.480 5.144 P
-2.243 2.219 2.727 P
-3.002 0.276 9.636 P
-5.118 5.647 0.737 P
-2.388 -2.557 6.347 P
-2.858 5.051 6.016 P
-0.128 -3.152 11.627 P
0.914 4.139 5.403 Rb
-5.427 2.685 8.516 Rb
-1.374 4.037 9.473 Rb
-6.159 -1.645 6.960 Rb
-3.872 -1.543 2.891 Rb
-2.305 4.017 -0.319 Rb
0.181 -0.190 3.848 Rb
-4.218 -5.047 5.754 Fe
-1.027 7.542 6.609 Fe
2.999 2.487 8.980 Fe
-4.756 4.122 3.712 Fe
-0.489 -1.628 8.652 Fe
-8.244 0.007 3.384 Fe
-2.623 1.247 6.182 Gd
```